Entry from Alexandria via LeMat-Bulk: an optimized crystal structure of TbPrH (PBE-GGA).

The energy above the lowest structure with this stoichiometry comes out at 0.0 kJ per mole of atoms.

Geometry as CIF:
```
data_TbPrH
_chemical_formula_sum 'Tb1 Pr1 H1'
_cell_length_a 3.7032
_cell_length_b 3.7032
_cell_length_c 5.8205
_cell_angle_alpha 90.00
_cell_angle_beta 90.00
_cell_angle_gamma 120.00
_symmetry_space_group_name_H-M 'P 3 m 1'
_symmetry_Int_Tables_number 156
loop_
_symmetry_equiv_pos_as_xyz
'x,y,z'
'-y,x-y,z'
'-x+y,-x,z'
'-y,-x,z'
'-x+y,y,z'
'x,x-y,z'
loop_
_atom_site_label
_atom_site_type_symbol
_atom_site_fract_x
_atom_site_fract_y
_atom_site_fract_z
Tb1 Tb 0.0000 0.0000 0.0000
Pr1 Pr 0.6667 0.3333 0.5186
H1 H 0.3333 0.6667 0.7779
```

=====

Entry from Alexandria via LeMat-Bulk: an optimized crystal structure of Ac5ThSb6 (PBE-GGA).

Geometry as CIF:
```
data_Ac5ThSb6
_chemical_formula_sum 'Ac10 Th2 Sb12'
_cell_length_a 8.2192
_cell_length_b 14.2358
_cell_length_c 8.2180
_cell_angle_alpha 90.00
_cell_angle_beta 109.52
_cell_angle_gamma 90.00
_symmetry_space_group_name_H-M 'C 1 2/m 1'
_symmetry_Int_Tables_number 12
loop_
_symmetry_equiv_pos_as_xyz
'x,y,z'
'-x,-y,-z'
'-x,y,-z'
'x,-y,z'
'x+1/2,y+1/2,z'
'-x+1/2,-y+1/2,-z'
'-x+1/2,y+1/2,-z'
'x+1/2,-y+1/2,z'
loop_
_atom_site_label
_atom_site_type_symbol
_atom_site_fract_x
_atom_site_fract_y
_atom_site_fract_z
Ac1 Ac 0.0000 0.0000 0.0000
Ac2 Ac 0.0000 0.1655 0.5000
Ac3 Ac 0.0000 0.3300 0.0000
Th1 Th 0.0000 0.5000 0.5000
Sb1 Sb 0.2393 0.5000 0.2551
Sb2 Sb 0.2413 0.3390 0.7421
```

=====

Entry from Alexandria via LeMat-Bulk: an optimized crystal structure of Sc2NbMoCl (PBE-GGA).

Geometry as CIF:
```
data_Sc2NbMoCl
_chemical_formula_sum 'Sc2 Nb1 Mo1 Cl1'
_cell_length_a 4.6877
_cell_length_b 4.6877
_cell_length_c 4.4877
_cell_angle_alpha 90.00
_cell_angle_beta 90.00
_cell_angle_gamma 90.00
_symmetry_space_group_name_H-M 'P 4/m m m'
_symmetry_Int_Tables_number 123
_symmetry_space_group_name_Hall '-P 4 2'
loop_
_atom_site_label
_atom_site_type_symbol
_atom_site_fract_x
_atom_site_fract_y
_atom_site_fract_z
Sc1 Sc 0.0000 0.5000 0.0000
Nb1 Nb 0.0000 0.0000 0.5000
Mo1 Mo 0.5000 0.5000 0.5000
Cl1 Cl 0.5000 0.5000 0.0000
```

=====

Entry from Alexandria via LeMat-Bulk: an optimized crystal structure of SiPI3 (PBE-GGA).

The energy above the lowest structure with this stoichiometry comes out at 0.0 kJ per mole of atoms.

Geometry as CIF:
```
data_SiPI3
_chemical_formula_sum 'Si1 P1 I3'
_cell_length_a 5.6024
_cell_length_b 5.6024
_cell_length_c 5.6024
_cell_angle_alpha 90.00
_cell_angle_beta 90.00
_cell_angle_gamma 90.00
_symmetry_space_group_name_H-M 'P m -3 m'
_symmetry_Int_Tables_number 221
_symmetry_space_group_name_Hall '-P 4 2 3'
loop_
_atom_site_label
_atom_site_type_symbol
_atom_site_fract_x
_atom_site_fract_y
_atom_site_fract_z
Si1 Si 0.0000 0.0000 0.0000
P1 P 0.5000 0.5000 0.5000
I1 I 0.0000 0.0000 0.5000
```

=====

Entry from Alexandria via LeMat-Bulk: an optimized crystal structure of NaTbY (PBE-GGA).

The energy above the lowest structure with this stoichiometry comes out at 0.0 kJ per mole of atoms.

Geometry as CIF:
```
data_NaTbY
_chemical_formula_sum 'Na1 Tb1 Y1'
_cell_length_a 3.5530
_cell_length_b 3.5530
_cell_length_c 9.1561
_cell_angle_alpha 90.00
_cell_angle_beta 90.00
_cell_angle_gamma 120.00
_symmetry_space_group_name_H-M 'P 3 m 1'
_symmetry_Int_Tables_number 156
loop_
_symmetry_equiv_pos_as_xyz
'x,y,z'
'-y,x-y,z'
'-x+y,-x,z'
'-y,-x,z'
'-x+y,y,z'
'x,x-y,z'
loop_
_atom_site_label
_atom_site_type_symbol
_atom_site_fract_x
_atom_site_fract_y
_atom_site_fract_z
Na1 Na 0.0000 0.0000 0.0000
Tb1 Tb 0.6667 0.3333 0.3495
Y1 Y 0.3333 0.6667 0.6510
```

=====

Entry from Alexandria via LeMat-Bulk: an optimized crystal structure of ZrAsIBr2 (PBE-GGA).

The energy above the lowest structure with this stoichiometry comes out at 131.8 kJ per mole of atoms.

Geometry as CIF:
```
data_ZrAsIBr2
_chemical_formula_sum 'Zr1 As1 I1 Br2'
_cell_length_a 5.5382
_cell_length_b 5.5382
_cell_length_c 5.6359
_cell_angle_alpha 90.00
_cell_angle_beta 90.00
_cell_angle_gamma 90.00
_symmetry_space_group_name_H-M 'P 4/m m m'
_symmetry_Int_Tables_number 123
_symmetry_space_group_name_Hall '-P 4 2'
loop_
_atom_site_label
_atom_site_type_symbol
_atom_site_fract_x
_atom_site_fract_y
_atom_site_fract_z
Zr1 Zr 0.0000 0.0000 0.0000
As1 As 0.5000 0.5000 0.0000
I1 I 0.5000 0.5000 0.5000
Br1 Br 0.0000 0.5000 0.5000
```

=====

Entry from Alexandria via LeMat-Bulk: an optimized crystal structure of CoIr2Se (PBE-GGA).

Geometry as CIF:
```
data_CoIr2Se
_chemical_formula_sum 'Co2 Ir4 Se2'
_cell_length_a 3.9698
_cell_length_b 3.9698
_cell_length_c 7.3008
_cell_angle_alpha 90.00
_cell_angle_beta 90.00
_cell_angle_gamma 90.00
_symmetry_space_group_name_H-M 'I 4/m m m'
_symmetry_Int_Tables_number 139
_symmetry_space_group_name_Hall '-I 4 2'
loop_
_atom_site_label
_atom_site_type_symbol
_atom_site_fract_x
_atom_site_fract_y
_atom_site_fract_z
Co1 Co 0.0000 0.0000 0.0000
Ir1 Ir 0.0000 0.5000 0.2500
Se1 Se 0.0000 0.0000 0.5000
```

=====

Entry from Alexandria via LeMat-Bulk: an optimized crystal structure of MnSb3N (PBE-GGA).

The energy above the lowest structure with this stoichiometry comes out at 0.0 kJ per mole of atoms.

Geometry as CIF:
```
data_MnSb3N
_chemical_formula_sum 'Mn1 Sb3 N1'
_cell_length_a 4.6225
_cell_length_b 4.6225
_cell_length_c 4.6225
_cell_angle_alpha 90.00
_cell_angle_beta 90.00
_cell_angle_gamma 90.00
_symmetry_space_group_name_H-M 'P m -3 m'
_symmetry_Int_Tables_number 221
_symmetry_space_group_name_Hall '-P 4 2 3'
loop_
_atom_site_label
_atom_site_type_symbol
_atom_site_fract_x
_atom_site_fract_y
_atom_site_fract_z
Mn1 Mn 0.0000 0.0000 0.0000
Sb1 Sb 0.0000 0.5000 0.5000
N1 N 0.5000 0.5000 0.5000
```

=====

In order of appearance, M_tot = 0.00 0.00 0.00 2.32 0.00 1.66 4.35 0.32 Bohr magnetons per cell.
In order of appearance, Fermi-level density of states = 2.87 7.15 5.35 4.65 4.43 4.09 7.61 8.11 states/eV/cell.
In order of appearance, E_tot = -4.46 -5.56 -6.80 -2.40 -4.00 -2.67 -6.65 -4.95 eV/atom.